Entry from Alexandria: a geometry-optimized Ba2NiSe2 structure (PBE-GGA).

```
Ba2NiSe2
1.0
-6.166 1.033 -1.627
-1.684 -0.231 6.233
-3.259 4.919 2.650
Ni Ba Se
1 2 2
direct
0.000 0.000 0.000
0.750 0.250 0.500
0.250 0.750 0.500
0.247 0.247 0.505
0.753 0.753 0.495
```

SG ... I4/mmm, No. 139
Formation energy without anion corrections ... -1.125 eV per atom

***

Entry from Alexandria: a geometry-optimized Dy7TlRh2 structure (PBE-GGA).

```
Dy7TlRh2
1.0
5.190 0.000 0.000
0.000 8.162 0.167
0.000 -3.451 7.399
Dy Tl Rh
7 1 2
direct
0.000 0.709 0.291
0.000 0.291 0.709
0.500 0.056 0.314
0.500 0.944 0.686
0.500 0.314 0.056
0.500 0.686 0.944
0.500 0.500 0.500
0.000 0.000 0.000
0.500 0.704 0.296
0.500 0.296 0.704
```

SG ... Cmmm, No. 65
Energy of formation from the pure elements ... -240 meV/atom

***

Entry from Alexandria: a geometry-optimized Zr4Au structure (PBE-GGA).

```
Zr4Au
1.0
-1.970 1.970 7.617
1.970 -1.970 7.617
1.970 1.970 -7.617
Zr Au
4 1
direct
0.250 0.750 0.500
0.589 0.589 0.000
0.411 0.411 0.000
0.750 0.250 0.500
0.000 0.000 0.000
```

SG ... I4/mmm, No. 139
Energy of formation from the pure elements ... 406 meV/atom

***

Entry from Alexandria: a geometry-optimized Nd3ThNi8 structure (PBE-GGA).

```
Nd3ThNi8
1.0
4.952 0.000 1.495
2.250 4.411 1.495
-0.006 -0.004 8.970
Nd Th Ni
3 1 8
direct
0.374 0.374 0.879
0.003 0.003 0.992
0.497 0.497 0.509
0.877 0.877 0.370
0.935 0.437 0.190
0.442 0.937 0.685
0.437 0.437 0.190
0.937 0.937 0.685
0.188 0.188 0.437
0.688 0.688 0.937
0.437 0.935 0.190
0.937 0.442 0.685
```

SG ... R3m, No. 160
Energy of formation from the pure elements ... -325 meV/atom

***

| no. | Fermi-level density of states (states/eV per cell) |
| --- | --- |
| 1 | 0.003 |
| 2 | 9.232 |
| 3 | 6.762 |
| 4 | 3.227 |